[1]
Entry from the Alexandria database: BaSi2Ni after structural relaxation (PBE).

Structure (POSCAR):
```
BaSi2Ni
1.0
3.992 -0.012 0.001
2.008 3.450 0.001
1.995 1.143 6.128
Ni Si Ba
1 2 1
Cartesian
1.999 1.145 0.122
5.999 3.437 0.581
5.994 3.434 5.495
4.001 2.292 2.997
```

Formation energy without anion corrections = -0.438 eV per atom
Mass density = 5.0 g/cm³



[2]
Entry from the Alexandria database: K3Ce2NdO6 after structural relaxation (PBE).

Structure (POSCAR):
```
K3Ce2NdO6
1.0
6.314 -0.001 0.000
-3.156 5.469 0.000
-1.053 -1.823 6.295
K Ce Nd O
3 2 1 6
Cartesian
-2.101 3.644 3.148
4.206 0.001 3.148
1.052 1.822 3.148
0.001 3.646 0.000
3.157 1.822 0.000
0.000 0.000 0.000
3.165 1.808 5.098
2.098 3.632 1.200
-1.060 1.836 1.198
-0.015 3.645 5.098
0.007 0.012 5.095
2.120 0.000 1.198
```

Formation energy without anion corrections = -2.594 eV per atom
Mass density = 4.9 g/cm³



[3]
Entry from the Alexandria database: Er2Be4Si3Rh after structural relaxation (PBE).

Structure (POSCAR):
```
Er2Be4Si3Rh
1.0
-1.697 -1.777 -2.881
3.003 0.698 -2.199
4.064 -8.504 2.852
Er Be Si Rh
2 4 3 1
Cartesian
0.153 -2.985 -0.738
4.563 -6.059 1.049
0.653 -0.540 -2.540
0.000 0.000 0.000
1.735 -6.296 0.372
2.981 -2.748 -0.061
2.032 -4.252 1.426
2.671 -8.253 1.029
2.046 -0.791 -0.717
2.685 -4.792 -1.114
```

Formation energy without anion corrections = -0.540 eV per atom
Mass density = 6.6 g/cm³



[4]
Entry from the Alexandria database: Sc3GaO after structural relaxation (PBE).

Structure (POSCAR):
```
Sc3GaO
1.0
-0.502 3.229 1.223
-0.772 -2.760 1.992
17.149 0.098 6.781
Sc O Ga
6 2 2
Cartesian
4.287 0.025 1.695
12.862 0.074 5.085
14.570 -0.676 7.766
9.790 -0.703 5.876
6.085 1.271 4.119
1.305 1.244 2.229
12.180 -0.690 6.821
3.695 1.258 3.174
0.000 0.000 0.000
8.574 0.049 3.390
```

Formation energy without anion corrections = -1.266 eV per atom
Mass density = 3.8 g/cm³



[5]
Entry from the Alexandria database: CrSb2Pd9 after structural relaxation (PBE).

Structure (POSCAR):
```
CrSb2Pd9
1.0
4.010 0.000 0.000
0.000 4.010 0.000
0.000 0.000 12.021
Cr Sb Pd
1 2 9
Cartesian
0.000 0.000 0.000
0.000 0.000 3.898
0.000 0.000 8.123
2.005 2.005 0.000
2.005 2.005 4.007
2.005 2.005 8.014
2.005 0.000 1.939
2.005 0.000 6.010
2.005 0.000 10.081
0.000 2.005 1.939
0.000 2.005 6.010
0.000 2.005 10.081
```

Formation energy without anion corrections = -0.283 eV per atom
Mass density = 10.8 g/cm³



[6]
Entry from the Alexandria database: KPr2Te4 after structural relaxation (PBE).

Structure (POSCAR):
```
KPr2Te4
1.0
-2.307 0.343 -3.955
0.246 -3.376 -3.102
-12.811 -7.847 4.126
K Pr Te
1 2 4
Cartesian
-7.436 -5.440 -1.465
-4.021 -3.514 -3.290
-10.851 -7.365 0.360
-12.895 -9.142 -1.267
-6.192 -5.362 -4.849
-1.976 -1.738 -1.663
-8.680 -5.518 1.919
```

Formation energy without anion corrections = -1.182 eV per atom
Mass density = 4.9 g/cm³